1.
# BeNiCl3

BeNiCl3 at its PBEsol-relaxed geometry (meta-GGA SCAN, the Alexandria database).

Summary:
**E**: -44.386 eV per cell
**Total magnetic moment**: 0.191 μB/atom
**Formation energy from raw total energies**: 0.01 eV per atom

Lattice parameters (Å, degrees): 4.5003 4.5003 4.5003 90.00 90.00 90.00
Closest atoms and distances in Å follow each position.
Fractional positions:
Be1 0.0000 0.0000 0.0000  12 Cl 3.18
Ni1 0.5000 0.5000 0.5000  6 Cl 2.25
Cl1 0.0000 0.5000 0.5000  2 Ni 2.25
Cl2 0.5000 0.0000 0.5000  2 Ni 2.25
Cl3 0.5000 0.5000 0.0000  2 Ni 2.25

2.
# Be2PbClO

Be2PbClO at its PBEsol-relaxed geometry (meta-GGA SCAN, the Alexandria database).

Summary:
**E**: -100.038 eV per cell
**Total magnetic moment**: 0.000 μB/atom
**Formation energy from raw total energies**: -0.27 eV per atom

Lattice parameters (Å, degrees): 3.7118 3.7118 6.1705 90.00 90.00 90.00
Closest atoms and distances in Å follow each position.
Fractional positions:
Be1 0.0000 0.5000 0.0000  2 O 1.86
Be2 0.5000 0.0000 0.0000  2 O 1.86
Pb1 0.0000 0.0000 0.5000  4 Cl 2.62
Cl1 0.5000 0.5000 0.5000  4 Pb 2.62
O1 0.5000 0.5000 0.0000  4 Be 1.86

3.
# BeOs2Cl

BeOs2Cl at its PBEsol-relaxed geometry (meta-GGA SCAN, the Alexandria database).

Summary:
**E**: -152.324 eV per cell
**Total magnetic moment**: 0.000 μB/atom
**Formation energy from raw total energies**: 0.94 eV per atom

Lattice parameters (Å, degrees): 2.6883 4.1981 4.7793 90.00 90.00 90.00
Closest atoms and distances in Å follow each position.
Fractional positions:
Be1 0.0000 0.0000 0.0000  4 Os 2.49, 2 Be 2.69, 4 Cl 2.74
Os1 0.0000 0.5000 0.5000  4 Cl 2.49, 6 Os 2.69-2.74
Os2 0.5000 0.5000 0.0000  4 Be 2.49, 6 Os 2.69-2.74
Cl1 0.5000 0.0000 0.5000  4 Os 2.49, 2 Cl 2.69, 4 Be 2.74

4.
# BeOsCl

BeOsCl at its PBEsol-relaxed geometry (meta-GGA SCAN, the Alexandria database).

Summary:
**E**: -80.306 eV per cell
**Total magnetic moment**: 0.000 μB/atom
**Formation energy from raw total energies**: 1.30 eV per atom

Lattice parameters (Å, degrees): 3.9540 3.9540 3.9540 60.00 60.00 60.00
Closest atoms and distances in Å follow each position.
Fractional positions:
Be1 0.0000 0.0000 0.0000  4 Os 2.42
Os1 0.7500 0.7500 0.7500  4 Cl 2.42, 4 Be 2.42
Cl1 0.5000 0.5000 0.5000  4 Os 2.42

5.
# BeOsCl2

BeOsCl2 at its PBEsol-relaxed geometry (meta-GGA SCAN, the Alexandria database).

Summary:
**E**: -92.472 eV per cell
**Total magnetic moment**: 0.000 μB/atom
**Formation energy from raw total energies**: -0.07 eV per atom

Lattice parameters (Å, degrees): 3.9091 3.9091 7.1085 93.72 93.72 44.65
Closest atoms and distances in Å follow each position.
Fractional positions:
Be1 0.0000 0.0000 0.0000  2 Cl 2.17, 3 Os 2.18-2.37
Os1 0.7334 0.7334 0.1254  3 Be 2.18-2.37, 3 Cl 2.30-2.34
Cl1 0.2859 0.2859 0.3698  2 Os 2.30
Cl2 0.6070 0.6070 0.8126  2 Be 2.17, 1 Os 2.34

6.
# Be2OsCl

Be2OsCl at its PBEsol-relaxed geometry (meta-GGA SCAN, the Alexandria database).

Summary:
**E**: -87.473 eV per cell
**Total magnetic moment**: 0.000 μB/atom
**Formation energy from raw total energies**: 0.27 eV per atom

Lattice parameters (Å, degrees): 6.0413 6.0413 6.0413 153.19 146.04 43.78
Closest atoms and distances in Å follow each position.
Fractional positions:
Be1 0.0000 0.0000 0.0000  2 Be 2.23, 4 Os 2.30
Be2 0.6222 0.1222 0.5000  2 Be 2.23, 2 Os 2.29
Os1 0.4604 0.4604 0.0000  6 Be 2.29-2.30, 2 Cl 2.55
Cl1 0.2705 0.7705 0.5000  2 Os 2.55, 4 Be 2.80, 2 Cl 2.80

7.
# BeOs2Cl

BeOs2Cl at its PBEsol-relaxed geometry (meta-GGA SCAN, the Alexandria database).

Summary:
**E**: -153.343 eV per cell
**Total magnetic moment**: 0.000 μB/atom
**Formation energy from raw total energies**: 0.69 eV per atom

Lattice parameters (Å, degrees): 2.8257 2.8257 6.6834 90.00 90.00 90.00
Closest atoms and distances in Å follow each position.
Fractional positions:
Be1 0.0000 0.0000 0.0000  8 Os 2.36
Os1 0.5000 0.5000 0.1878  4 Be 2.36, 1 Os 2.51
Os2 0.5000 0.5000 0.8122  4 Be 2.36, 1 Os 2.51
Cl1 0.0000 0.0000 0.5000  4 Cl 2.83, 8 Os 2.89

8.
# Be2OsCl

Be2OsCl at its PBEsol-relaxed geometry (meta-GGA SCAN, the Alexandria database).

Summary:
**E**: -85.690 eV per cell
**Total magnetic moment**: 0.000 μB/atom
**Formation energy from raw total energies**: 0.72 eV per atom

Lattice parameters (Å, degrees): 4.5848 4.5848 4.5848 142.68 126.88 66.71
Closest atoms and distances in Å follow each position.
Fractional positions:
Be1 0.2479 0.2479 0.0000  2 Cl 2.40, 2 Os 2.42, 4 Be 2.52
Be2 0.7521 0.7521 0.0000  2 Cl 2.40, 2 Os 2.42, 4 Be 2.52
Os1 0.5000 0.0000 0.5000  4 Be 2.42, 4 Cl 2.52
Cl1 0.0000 0.5000 0.5000  4 Be 2.40, 4 Os 2.52

9.
# BeOsCl2

BeOsCl2 at its PBEsol-relaxed geometry (meta-GGA SCAN, the Alexandria database).

Summary:
**E**: -86.534 eV per cell
**Total magnetic moment**: 0.532 μB/atom
**Formation energy from raw total energies**: 1.41 eV per atom

Lattice parameters (Å, degrees): 4.3750 4.3750 4.3750 60.00 60.00 60.00
Closest atoms and distances in Å follow each position.
Fractional positions:
Be1 0.0000 0.0000 0.0000  4 Cl 2.68, 4 Os 2.68
Os1 0.2500 0.2500 0.2500  4 Cl 2.68, 4 Be 2.68
Cl1 0.5000 0.5000 0.5000  4 Cl 2.68, 4 Os 2.68
Cl2 0.7500 0.7500 0.7500  4 Be 2.68, 4 Cl 2.68

10.
# BeOsCl2

BeOsCl2 at its PBEsol-relaxed geometry (meta-GGA SCAN, the Alexandria database).

Summary:
**E**: -90.924 eV per cell
**Total magnetic moment**: 0.497 μB/atom
**Formation energy from raw total energies**: 0.32 eV per atom

Lattice parameters (Å, degrees): 5.8580 5.8580 5.8580 152.27 100.57 86.07
Closest atoms and distances in Å follow each position.
Fractional positions:
Be1 0.0000 0.0000 0.0000  2 Cl 1.97
Os1 0.2325 0.7325 0.5000  2 Cl 2.28, 2 Be 2.44
Cl1 0.4426 0.4426 0.0000  2 Os 2.28
Cl2 0.8380 0.3380 0.5000  2 Be 1.97

11.
# BeOsCl

BeOsCl at its PBEsol-relaxed geometry (meta-GGA SCAN, the Alexandria database).

Summary:
**E**: -83.194 eV per cell
**Total magnetic moment**: 0.000 μB/atom
**Formation energy from raw total energies**: 0.34 eV per atom

Lattice parameters (Å, degrees): 7.3752 7.1237 2.7430 84.31 73.97 21.72
Closest atoms and distances in Å follow each position.
Fractional positions:
Be1 0.0000 0.0000 0.0000  2 Cl 2.04
Os1 0.6367 0.6367 0.3633  2 Be 2.36
Cl1 0.3937 0.3937 0.6063  2 Be 2.04

12.
# BePCl2

BePCl2 at its PBEsol-relaxed geometry (meta-GGA SCAN, the Alexandria database).

Summary:
**E**: -31.172 eV per cell
**Total magnetic moment**: 0.002 μB/atom
**Formation energy from raw total energies**: -0.12 eV per atom

Lattice parameters (Å, degrees): 6.3570 6.3570 6.3570 154.55 122.89 63.51
Closest atoms and distances in Å follow each position.
Fractional positions:
Be1 0.0000 0.0000 0.0000  4 Cl 2.05
P1 0.5000 0.5000 0.0000  2 P 2.80
Cl1 0.1380 0.6380 0.5000  2 Be 2.05
Cl2 0.8620 0.3620 0.5000  2 Be 2.05

13.
# BePCl4

BePCl4 at its PBEsol-relaxed geometry (meta-GGA SCAN, the Alexandria database).

Summary:
**E**: -38.664 eV per cell
**Total magnetic moment**: 0.123 μB/atom
**Formation energy from raw total energies**: 1.33 eV per atom

Lattice parameters (Å, degrees): 5.5305 5.5305 5.5305 60.00 60.00 60.00
Closest atoms and distances in Å follow each position.
Fractional positions:
Be1 0.0000 0.0000 0.0000  12 Cl 3.24, 4 P 3.39
P1 0.7500 0.7500 0.7500  12 Cl 3.24, 4 Be 3.39
Cl1 0.3744 0.3744 0.3744  6 Cl 2.75-2.78
Cl2 0.3744 0.3744 0.8768  6 Cl 2.75-2.78
Cl3 0.3744 0.8768 0.3744  6 Cl 2.75-2.78
Cl4 0.8768 0.3744 0.3744  6 Cl 2.75-2.78

14.
# BePCl

BePCl at its PBEsol-relaxed geometry (meta-GGA SCAN, the Alexandria database).

Summary:
**E**: -18.143 eV per cell
**Total magnetic moment**: 0.000 μB/atom
**Formation energy from raw total energies**: 1.53 eV per atom

Lattice parameters (Å, degrees): 4.1476 4.1476 4.1476 60.00 60.00 60.00
Closest atoms and distances in Å follow each position.
Fractional positions:
Be1 0.0000 0.0000 0.0000  4 Cl 2.54
P1 0.5000 0.5000 0.5000  4 Cl 2.54
Cl1 0.2500 0.2500 0.2500  4 Be 2.54, 4 P 2.54

15.
# BePCl2

BePCl2 at its PBEsol-relaxed geometry (meta-GGA SCAN, the Alexandria database).

Summary:
**E**: -29.867 eV per cell
**Total magnetic moment**: 0.095 μB/atom
**Formation energy from raw total energies**: 0.21 eV per atom

Lattice parameters (Å, degrees): 2.8290 2.8290 10.3350 90.00 90.00 90.00
Closest atoms and distances in Å follow each position.
Fractional positions:
Be1 0.0000 0.0000 0.0000  8 Cl 2.45
P1 0.0000 0.0000 0.5000  4 P 2.83
Cl1 0.5000 0.5000 0.1361  4 Be 2.45
Cl2 0.5000 0.5000 0.8639  4 Be 2.45

16.
# BePCl

BePCl at its PBEsol-relaxed geometry (meta-GGA SCAN, the Alexandria database).

Summary:
**E**: -22.040 eV per cell
**Total magnetic moment**: 0.000 μB/atom
**Formation energy from raw total energies**: 0.23 eV per atom

Lattice parameters (Å, degrees): 6.7439 6.7439 6.7439 156.19 156.19 33.92
Closest atoms and distances in Å follow each position.
Fractional positions:
Be1 0.0000 0.0000 0.0000  4 Cl 2.38, 4 P 2.57
P1 0.3714 0.3714 0.0000  4 Be 2.57, 4 P 2.78
Cl1 0.6042 0.6042 0.0000  4 Be 2.38

17.
# BePCl2

BePCl2 at its PBEsol-relaxed geometry (meta-GGA SCAN, the Alexandria database).

Summary:
**E**: -27.119 eV per cell
**Total magnetic moment**: 0.000 μB/atom
**Formation energy from raw total energies**: 0.90 eV per atom

Lattice parameters (Å, degrees): 4.3983 4.3983 3.2653 90.00 90.00 90.00
Closest atoms and distances in Å follow each position.
Fractional positions:
Be1 0.0000 0.0000 0.0000  8 Cl 2.74
P1 0.5000 0.5000 0.0000  8 Cl 2.74
Cl1 0.0000 0.5000 0.5000  4 Be 2.74, 4 P 2.74
Cl2 0.5000 0.0000 0.5000  4 Be 2.74, 4 P 2.74

18.
# RbBePCl2

RbBePCl2 at its PBEsol-relaxed geometry (meta-GGA SCAN, the Alexandria database).

Summary:
**E**: -55.279 eV per cell
**Total magnetic moment**: 0.400 μB/atom
**Formation energy from raw total energies**: -0.77 eV per atom

Lattice parameters (Å, degrees): 5.0800 5.0800 4.2859 90.00 90.00 90.00
Closest atoms and distances in Å follow each position.
Fractional positions:
Rb1 0.0000 0.0000 0.0000  8 Cl 3.32, 4 P 3.59
Be1 0.5000 0.5000 0.5000  2 P 2.14
P1 0.5000 0.5000 0.0000  2 Be 2.14
Cl1 0.0000 0.5000 0.5000  2 Be 2.54
Cl2 0.5000 0.0000 0.5000  2 Be 2.54

19.
# BeReP2Cl

BeReP2Cl at its PBEsol-relaxed geometry (meta-GGA SCAN, the Alexandria database).

Summary:
**E**: -98.022 eV per cell
**Total magnetic moment**: 0.362 μB/atom
**Formation energy from raw total energies**: 1.24 eV per atom

Lattice parameters (Å, degrees): 4.0902 4.0902 4.2767 90.00 90.00 90.00
Closest atoms and distances in Å follow each position.
Fractional positions:
Be1 0.0000 0.0000 0.0000  4 P 2.05, 2 Cl 2.14
Re1 0.5000 0.5000 0.5000  4 Cl 2.89, 8 P 2.96
P1 0.0000 0.5000 0.0000  2 Be 2.05
P2 0.5000 0.0000 0.0000  2 Be 2.05
Cl1 0.0000 0.0000 0.5000  2 Be 2.14

20.
# BePS2Cl

BePS2Cl at its PBEsol-relaxed geometry (meta-GGA SCAN, the Alexandria database).

Summary:
**E**: -33.907 eV per cell
**Total magnetic moment**: 0.000 μB/atom
**Formation energy from raw total energies**: 1.62 eV per atom

Lattice parameters (Å, degrees): 4.5329 4.5329 4.4832 90.00 90.00 90.00
Closest atoms and distances in Å follow each position.
Fractional positions:
Be1 0.0000 0.0000 0.0000  8 S 3.19, 4 P 3.21
P1 0.5000 0.5000 0.0000  2 Cl 2.24
S1 0.0000 0.5000 0.5000  2 Cl 2.27
S2 0.5000 0.0000 0.5000  2 Cl 2.27
Cl1 0.5000 0.5000 0.5000  2 P 2.24, 4 S 2.27